Entry from Alexandria: a geometry-optimized Sm2Ho4Sb3N2 structure (PBE-GGA).

Summary:
**Raw formation energy**: -1.208 eV/atom
**D(E_F)**: 6.3 states/eV per cell

a = 4.6314 Å, b = 4.6314 Å, c = 13.0719 Å
α = 100.20°, β = 100.20°, γ = 90.00°
Sites, in units of the cell vectors:
1 Ho 0.5829 0.0829 0.1658
2 Sb 0.8228 0.8228 0.6457
3 N 0.5986 0.5986 0.1972
4 Ho 0.4171 0.9171 0.8342
5 N 0.4014 0.4014 0.8028
6 Sb 0.1772 0.1772 0.3543
7 Sm 0.6933 0.6933 0.3865
8 Ho 0.0829 0.5829 0.1658
9 Ho 0.9171 0.4171 0.8342
10 Sb 0.0000 0.0000 0.0000
11 Sm 0.3067 0.3067 0.6135